1.
Below is an optimized crystal structure of Th2UWC4, with properties calculated at the PBE level.

Cell lengths 3.484, 6.310, 13.007 Å; angles 90.00, 90.00, 106.02 degrees
Positions (direct):
C 0.438 0.876 0.750
C 0.562 0.124 0.250
C 0.275 0.551 0.360
C 0.000 0.000 0.000
C 0.725 0.449 0.640
C 0.000 0.000 0.500
C 0.725 0.449 0.860
C 0.275 0.551 0.140
W 0.163 0.325 0.250
W 0.837 0.675 0.750
U 0.105 0.210 0.750
U 0.895 0.790 0.250
Th 0.635 0.271 0.462
Th 0.635 0.271 0.038
Th 0.365 0.729 0.962
Th 0.365 0.729 0.538

Values from the calculation:
- Electronic total energy: -9.387 eV per atom
- Magnetization: 2.4 μB per formula unit
- Mass density: 11.29 g cm⁻³
- Energy of formation from the pure elements: 0.110 eV per atom

***

2.
Below is an optimized crystal structure of YTh2UC4, with properties calculated at the PBE level.

Cell lengths 3.686, 6.364, 6.284 Å; angles 70.70, 90.00, 90.00 degrees
Positions (direct):
C 0.000 0.269 0.270
C 0.500 0.277 0.725
C 0.500 0.723 0.275
C 0.000 0.731 0.730
U 0.000 0.500 0.500
Th 0.500 0.000 0.500
Th 0.000 0.000 0.000
Y 0.500 0.500 0.000

Values from the calculation:
- Electronic total energy: -8.916 eV per atom
- Magnetization: 0.0 μB per formula unit
- Mass density: 10.01 g cm⁻³
- Energy of formation from the pure elements: -0.230 eV per atom

***

3.
Below is an optimized crystal structure of Th2V2C3, with properties calculated at the PBE level.

Cell lengths 3.427, 5.737, 6.275 Å; angles 114.74, 105.85, 90.00 degrees
Positions (direct):
Th 0.603 0.812 0.205
Th 0.397 0.188 0.795
V 0.838 0.672 0.676
V 0.162 0.328 0.324
C 0.251 0.722 0.501
C 0.000 0.000 0.000
C 0.749 0.278 0.499

Values from the calculation:
- Electronic total energy: -9.051 eV per atom
- Magnetization: 0.0 μB per formula unit
- Mass density: 9.35 g cm⁻³
- Energy of formation from the pure elements: -0.373 eV per atom

***

4.
Below is an optimized crystal structure of ThV2C3, with properties calculated at the PBE level.

Cell lengths 4.916, 6.274, 6.274 Å; angles 126.09, 90.00, 90.00 degrees
Positions (direct):
C 0.250 0.241 0.507
C 0.750 0.507 0.241
C 0.250 0.493 0.759
C 0.250 0.087 0.913
C 0.750 0.759 0.493
C 0.750 0.913 0.087
Th 0.250 0.744 0.256
Th 0.750 0.256 0.744
V 0.000 0.772 0.772
V 0.500 0.772 0.772
V 0.000 0.228 0.228
V 0.500 0.228 0.228

Values from the calculation:
- Electronic total energy: -8.981 eV per atom
- Magnetization: 0.0 μB per formula unit
- Mass density: 7.86 g cm⁻³
- Energy of formation from the pure elements: -0.093 eV per atom

***

5.
Below is an optimized crystal structure of ThVC, with properties calculated at the PBE level.

Cell lengths 5.621, 3.268, 3.268 Å; angles 120.00, 90.00, 90.00 degrees
Positions (direct):
Th 0.737 0.667 0.333
C 0.059 0.000 0.000
V 0.204 0.333 0.667

Values from the calculation:
- Electronic total energy: -8.527 eV per atom
- Magnetization: 0.6 μB per formula unit
- Mass density: 9.42 g cm⁻³
- Energy of formation from the pure elements: 0.061 eV per atom

***

6.
Below is an optimized crystal structure of ThVC, with properties calculated at the PBE level.

Cell lengths 3.571, 5.164, 5.529 Å; angles 90.00, 90.00, 90.00 degrees
Positions (direct):
Th 0.000 0.396 0.580
Th 0.500 0.604 0.080
C 0.000 0.867 0.367
C 0.500 0.133 0.867
V 0.500 0.913 0.561
V 0.000 0.087 0.061

Values from the calculation:
- Electronic total energy: -8.604 eV per atom
- Magnetization: 0.9 μB per formula unit
- Mass density: 9.61 g cm⁻³
- Energy of formation from the pure elements: -0.016 eV per atom

***

7.
Below is an optimized crystal structure of ThV3C, with properties calculated at the PBE level.

Cell lengths 4.232, 4.232, 4.232 Å; angles 90.00, 90.00, 90.00 degrees
Positions (direct):
V 0.000 0.000 0.500
V 0.500 0.000 0.000
V 0.000 0.500 0.000
C 0.000 0.000 0.000
Th 0.500 0.500 0.500

Values from the calculation:
- Electronic total energy: -8.630 eV per atom
- Magnetization: 3.0 μB per formula unit
- Mass density: 8.70 g cm⁻³
- Energy of formation from the pure elements: 0.170 eV per atom

***

8.
Below is an optimized crystal structure of ThV2C, with properties calculated at the PBE level.

Cell lengths 3.121, 3.121, 7.921 Å; angles 78.64, 78.64, 60.00 degrees
Positions (direct):
Th 0.500 0.500 0.500
C 0.000 0.000 0.000
V 0.709 0.709 0.872
V 0.291 0.291 0.128

Values from the calculation:
- Electronic total energy: -8.717 eV per atom
- Magnetization: 0.0 μB per formula unit
- Mass density: 8.83 g cm⁻³
- Energy of formation from the pure elements: 0.003 eV per atom

***

9.
Below is an optimized crystal structure of ThWC, with properties calculated at the PBE level.

Cell lengths 3.351, 5.795, 6.450 Å; angles 113.91, 105.05, 90.00 degrees
Positions (direct):
W 0.659 0.838 0.318
W 0.341 0.162 0.682
C 0.755 0.238 0.510
C 0.245 0.762 0.490
Th 0.107 0.304 0.214
Th 0.893 0.696 0.786

Values from the calculation:
- Electronic total energy: -9.886 eV per atom
- Magnetization: 0.0 μB per formula unit
- Mass density: 12.94 g cm⁻³
- Energy of formation from the pure elements: -0.021 eV per atom

***

10.
Below is an optimized crystal structure of Th3WC4, with properties calculated at the PBE level.

Cell lengths 5.470, 7.426, 7.547 Å; angles 90.00, 90.00, 90.00 degrees
Positions (direct):
Th 0.041 0.111 0.500
Th 0.547 0.345 0.734
Th 0.047 0.655 0.234
Th 0.541 0.889 0.000
Th 0.047 0.655 0.766
Th 0.547 0.345 0.266
C 0.660 0.206 0.000
C 0.551 0.088 0.500
C 0.576 0.685 0.735
C 0.051 0.912 0.000
C 0.076 0.315 0.235
C 0.076 0.315 0.765
C 0.160 0.794 0.500
C 0.576 0.685 0.265
W 0.018 0.186 0.000
W 0.518 0.814 0.500

Values from the calculation:
- Electronic total energy: -9.057 eV per atom
- Magnetization: 0.0 μB per formula unit
- Mass density: 10.05 g cm⁻³
- Energy of formation from the pure elements: -0.044 eV per atom

***

11.
Below is an optimized crystal structure of Th2WC3, with properties calculated at the PBE level.

Cell lengths 4.096, 3.631, 7.202 Å; angles 104.60, 106.52, 90.00 degrees
Positions (direct):
C 0.340 0.131 0.681
C 0.660 0.450 0.319
C 0.000 0.290 0.000
W 0.500 0.290 0.000
Th 0.146 0.937 0.293
Th 0.854 0.644 0.707

Values from the calculation:
- Electronic total energy: -9.417 eV per atom
- Magnetization: 0.0 μB per formula unit
- Mass density: 11.46 g cm⁻³
- Energy of formation from the pure elements: -0.173 eV per atom

***

12.
Below is an optimized crystal structure of ThWC2, with properties calculated at the PBE level.

Cell lengths 3.241, 3.241, 6.145 Å; angles 105.29, 105.29, 90.01 degrees
Positions (direct):
W 0.472 0.631 0.728
Th 0.222 0.881 0.228
C 0.582 0.242 0.950
C 0.861 0.521 0.507

Values from the calculation:
- Electronic total energy: -9.484 eV per atom
- Magnetization: 0.0 μB per formula unit
- Mass density: 12.20 g cm⁻³
- Energy of formation from the pure elements: 0.221 eV per atom

***

13.
Below is an optimized crystal structure of Th2WC, with properties calculated at the PBE level.

Cell lengths 3.365, 3.365, 9.210 Å; angles 79.47, 79.47, 60.00 degrees
Positions (direct):
Th 0.108 0.108 0.677
Th 0.892 0.892 0.323
W 0.000 0.000 0.000
C 0.500 0.500 0.500

Values from the calculation:
- Electronic total energy: -8.501 eV per atom
- Magnetization: 0.0 μB per formula unit
- Mass density: 12.41 g cm⁻³
- Energy of formation from the pure elements: 0.753 eV per atom

***

14.
Below is an optimized crystal structure of ThWC, with properties calculated at the PBE level.

Cell lengths 4.731, 3.634, 3.634 Å; angles 120.00, 90.00, 90.00 degrees
Positions (direct):
C 0.132 0.000 0.000
Th 0.699 0.667 0.333
W 0.169 0.333 0.667

Values from the calculation:
- Electronic total energy: -9.540 eV per atom
- Magnetization: 0.0 μB per formula unit
- Mass density: 13.13 g cm⁻³
- Energy of formation from the pure elements: 0.326 eV per atom

***

15.
Below is an optimized crystal structure of ThWC2, with properties calculated at the PBE level.

Cell lengths 3.325, 3.325, 6.051 Å; angles 74.05, 74.05, 60.00 degrees
Positions (direct):
C 0.733 0.733 0.800
C 0.267 0.267 0.200
W 0.000 0.000 0.000
Th 0.500 0.500 0.500

Values from the calculation:
- Electronic total energy: -9.778 eV per atom
- Magnetization: 0.0 μB per formula unit
- Mass density: 13.29 g cm⁻³
- Energy of formation from the pure elements: -0.073 eV per atom

***

16.
Below is an optimized crystal structure of YTh2WC4, with properties calculated at the PBE level.

Cell lengths 3.599, 6.340, 13.004 Å; angles 90.00, 90.00, 106.49 degrees
Positions (direct):
Th 0.634 0.268 0.463
Th 0.634 0.268 0.037
Th 0.366 0.732 0.537
Th 0.366 0.732 0.963
Y 0.888 0.776 0.250
Y 0.112 0.224 0.750
C 0.000 0.000 0.000
C 0.266 0.532 0.136
C 0.000 0.000 0.500
C 0.574 0.147 0.250
C 0.734 0.468 0.864
C 0.266 0.532 0.364
C 0.426 0.853 0.750
C 0.734 0.468 0.636
W 0.839 0.677 0.750
W 0.161 0.323 0.250

Values from the calculation:
- Electronic total energy: -8.921 eV per atom
- Magnetization: 0.0 μB per formula unit
- Mass density: 9.16 g cm⁻³
- Energy of formation from the pure elements: -0.027 eV per atom

***

17.
Below is an optimized crystal structure of Y2ThWC4, with properties calculated at the PBE level.

Cell lengths 3.529, 6.354, 12.311 Å; angles 90.00, 90.00, 106.12 degrees
Positions (direct):
C 0.569 0.137 0.250
C 0.265 0.530 0.131
C 0.735 0.470 0.869
C 0.000 0.000 0.000
C 0.265 0.530 0.369
C 0.735 0.470 0.631
C 0.431 0.863 0.750
C 0.000 0.000 0.500
Y 0.630 0.261 0.039
Y 0.370 0.739 0.961
Y 0.370 0.739 0.539
Y 0.630 0.261 0.461
W 0.838 0.677 0.750
W 0.162 0.323 0.250
Th 0.898 0.796 0.250
Th 0.102 0.204 0.750

Values from the calculation:
- Electronic total energy: -8.878 eV per atom
- Magnetization: 0.0 μB per formula unit
- Mass density: 8.04 g cm⁻³
- Energy of formation from the pure elements: -0.103 eV per atom

***

18.
Below is an optimized crystal structure of YTh3C2, with properties calculated at the PBE level.

Cell lengths 3.646, 8.445, 9.860 Å; angles 88.64, 79.35, 77.53 degrees
Positions (direct):
C 0.127 0.620 0.125
C 0.376 0.869 0.380
C 0.873 0.380 0.875
C 0.624 0.131 0.620
Th 0.059 0.081 0.801
Th 0.313 0.323 0.051
Th 0.192 0.174 0.442
Th 0.808 0.826 0.558
Th 0.941 0.919 0.199
Th 0.687 0.677 0.949
Y 0.439 0.422 0.699
Y 0.561 0.578 0.301

Values from the calculation:
- Electronic total energy: -8.089 eV per atom
- Magnetization: 0.0 μB per formula unit
- Mass density: 9.22 g cm⁻³
- Energy of formation from the pure elements: -0.227 eV per atom

***

19.
Below is an optimized crystal structure of Y2ThC2, with properties calculated at the PBE level.

Cell lengths 3.687, 3.687, 9.728 Å; angles 79.07, 79.07, 60.00 degrees
Positions (direct):
Y 0.768 0.768 0.695
Y 0.232 0.232 0.305
C 0.391 0.391 0.827
C 0.609 0.609 0.173
Th 0.000 0.000 0.000

Values from the calculation:
- Electronic total energy: -8.031 eV per atom
- Magnetization: 0.0 μB per formula unit
- Mass density: 6.45 g cm⁻³
- Energy of formation from the pure elements: -0.272 eV per atom

***

20.
Below is an optimized crystal structure of Y3ThC2, with properties calculated at the PBE level.

Cell lengths 3.615, 7.250, 11.398 Å; angles 80.97, 80.88, 75.56 degrees
Positions (direct):
Y 0.358 0.295 0.988
Y 0.642 0.705 0.012
Y 0.356 0.800 0.488
Y 0.861 0.041 0.236
Y 0.139 0.959 0.764
Y 0.644 0.200 0.512
C 0.750 0.873 0.627
C 0.250 0.127 0.373
C 0.747 0.377 0.129
C 0.253 0.623 0.871
Th 0.863 0.540 0.733
Th 0.137 0.460 0.267

Values from the calculation:
- Electronic total energy: -7.793 eV per atom
- Magnetization: 1.1 μB per formula unit
- Mass density: 6.12 g cm⁻³
- Energy of formation from the pure elements: -0.250 eV per atom